Below is a geometry-optimized Hg4BiIBr2 structure, with properties calculated at the GGA-PBE level.

```
Hg4BiIBr2
1.0
9.702 -1.113 0.072
-1.120 9.702 0.072
-4.464 -4.467 5.953
Hg Bi I Br
8 2 2 4
direct
0.207 0.816 0.011
0.684 0.293 0.489
0.316 0.707 0.511
0.793 0.184 0.989
0.755 0.746 0.003
0.754 0.745 0.497
0.246 0.255 0.503
0.245 0.254 0.997
0.500 0.500 0.500
0.000 0.000 0.000
0.000 0.500 0.000
0.000 0.500 0.500
0.500 0.000 0.000
0.500 0.000 0.500
0.000 0.000 0.500
0.500 0.500 0.000
```

## Properties
The formation energy from raw total energies comes out at -0.166 eV/atom. The space group is C2/c (15). The calculation puts the total magnetic moment at 0.00 μB per atom.

=====

Below is a geometry-optimized HfPaVCr structure, with properties calculated at the GGA-PBE level.

```
HfPaVCr
1.0
-2.961 -0.385 3.571
-1.321 -4.210 1.485
1.502 -1.596 4.107
Cr Pa Hf V
1 1 1 1
direct
0.750 0.750 0.750
0.000 0.000 0.000
0.500 0.500 0.500
0.250 0.250 0.250
```

## Properties
The space group is F-43m (216). The calculation puts the total magnetic moment at 0.00 μB per atom. For the energy of formation, the calculation gives 0.15 eV/atom.

=====

Below is a geometry-optimized Tl2SbNCl structure, with properties calculated at the GGA-PBE level.

```
Tl2SbNCl
1.0
5.118 0.000 0.000
0.000 5.118 0.000
0.000 0.000 4.379
Sb Tl N Cl
1 2 1 1
direct
0.500 0.500 0.500
0.000 0.500 0.000
0.500 0.000 0.000
0.000 0.000 0.000
0.000 0.000 0.500
```

## Properties
The formation energy from raw total energies comes out at 0.637 eV/atom. The space group is P4/mmm (123). The calculation puts the total magnetic moment at 0.00 μB per atom.

=====

| no. | energy (eV per cell) |
| --- | --- |
| 1 | -22.6 |
| 2 | -37.6 |
| 3 | -15.8 |